No. 1
## Ir7Ru5 (PBE)

Data for a geometry-optimized Ir7Ru5 structure.

Results
DOS(E_F)	1.100	states/eV per atom
magnetization	0.00	μB/atom
total DFT energy (no corrections)	-106.39	eV per formula unit
E above lowest polymorph	187	meV per atom

Structure (CIF):
```
data_Ir7Ru5
_chemical_formula_sum 'Ir14 Ru10'
_cell_length_a 12.946
_cell_length_b 2.719
_cell_length_c 10.110
_cell_angle_alpha 90.00
_cell_angle_beta 101.05
_cell_angle_gamma 90.00
_symmetry_space_group_name_H-M 'C 1 2/m 1'
_symmetry_Int_Tables_number 12
_symmetry_space_group_name_Hall '-C 2y'
loop_
_atom_site_label
_atom_site_fract_x
_atom_site_fract_y
_atom_site_fract_z
Ir1 0.000 0.000 0.000
Ir2 0.001 0.500 0.754
Ir3 0.168 0.000 0.403
Ir4 0.180 0.500 0.909
Ru1 0.000 0.500 0.500
Ru2 0.155 0.000 0.664
Ru3 0.167 0.500 0.164
```

***

No. 2
## Ir3Ru4 (PBE)

Data for a geometry-optimized Ir3Ru4 structure.

Results
DOS(E_F)	1.497	states/eV per atom
magnetization	0.36	μB/atom
total DFT energy (no corrections)	-60.76	eV per formula unit
E above lowest polymorph	454	meV per atom

Structure (CIF):
```
data_Ir3Ru4
_chemical_formula_sum 'Ir6 Ru8'
_cell_length_a 3.297
_cell_length_b 3.297
_cell_length_c 18.946
_cell_angle_alpha 90.00
_cell_angle_beta 90.00
_cell_angle_gamma 90.00
_symmetry_space_group_name_H-M 'I 4/m m m'
_symmetry_Int_Tables_number 139
_symmetry_space_group_name_Hall '-I 4 2'
loop_
_atom_site_label
_atom_site_fract_x
_atom_site_fract_y
_atom_site_fract_z
Ir1 0.000 0.000 0.000
Ir2 0.000 0.000 0.285
Ru1 0.000 0.000 0.143
Ru2 0.000 0.000 0.429
```

***

No. 3
## Ir2Ru (PBE)

Data for a geometry-optimized Ir2Ru structure.

Results
DOS(E_F)	1.423	states/eV per atom
magnetization	0.00	μB/atom
total DFT energy (no corrections)	-23.90	eV per formula unit
E above lowest polymorph	1066	meV per atom

Structure (CIF):
```
data_Ir2Ru
_chemical_formula_sum 'Ir2 Ru1'
_cell_length_a 3.6191
_cell_length_b 3.6191
_cell_length_c 4.4213
_cell_angle_alpha 90.00
_cell_angle_beta 90.00
_cell_angle_gamma 120.00
_symmetry_space_group_name_H-M 'P -3 m 1'
_symmetry_Int_Tables_number 164
_symmetry_space_group_name_Hall '-P 3 2"'
loop_
_atom_site_label
_atom_site_fract_x
_atom_site_fract_y
_atom_site_fract_z
Ir1 0.3333 0.6667 0.3202
Ru1 0.0000 0.0000 0.0000
```

***

No. 4
## Ir3Ru4 (PBE)

Data for a geometry-optimized Ir3Ru4 structure.

Results
DOS(E_F)	1.215	states/eV per atom
magnetization	0.00	μB/atom
total DFT energy (no corrections)	-60.73	eV per formula unit
E above lowest polymorph	459	meV per atom

Structure (CIF):
```
data_Ir3Ru4
_chemical_formula_sum 'Ir3 Ru4'
_cell_length_a 5.0576
_cell_length_b 5.0576
_cell_length_c 4.7458
_cell_angle_alpha 90.00
_cell_angle_beta 90.00
_cell_angle_gamma 120.00
_symmetry_space_group_name_H-M 'P 6/m m m'
_symmetry_Int_Tables_number 191
_symmetry_space_group_name_Hall '-P 6 2'
loop_
_atom_site_label
_atom_site_fract_x
_atom_site_fract_y
_atom_site_fract_z
Ir1 0.0000 0.5000 0.0000
Ru1 0.0000 0.0000 0.2594
Ru2 0.3333 0.6667 0.5000
```

***

No. 5
## Ir2Ru (PBE)

Data for a geometry-optimized Ir2Ru structure.

Results
DOS(E_F)	0.978	states/eV per atom
magnetization	0.00	μB/atom
total DFT energy (no corrections)	-27.08	eV per formula unit
E above lowest polymorph	7	meV per atom

Structure (CIF):
```
data_Ir2Ru
_chemical_formula_sum 'Ir2 Ru1'
_cell_length_a 2.724
_cell_length_b 3.852
_cell_length_c 4.713
_cell_angle_alpha 113.99
_cell_angle_beta 106.62
_cell_angle_gamma 90.03
_symmetry_space_group_name_H-M 'P -1'
_symmetry_Int_Tables_number 2
_symmetry_space_group_name_Hall '-P 1'
loop_
_atom_site_label
_atom_site_fract_x
_atom_site_fract_y
_atom_site_fract_z
Ir1 0.165 0.165 0.331
Ru1 0.500 0.500 0.000
```

***

No. 6
## Ir5Ru (PBE)

Data for a geometry-optimized Ir5Ru structure.

Results
DOS(E_F)	1.159	states/eV per atom
magnetization	0.00	μB/atom
total DFT energy (no corrections)	-53.40	eV per formula unit
E above lowest polymorph	56	meV per atom

Structure (CIF):
```
data_Ir5Ru
_chemical_formula_sum 'Ir10 Ru2'
_cell_length_a 10.028
_cell_length_b 2.753
_cell_length_c 6.492
_cell_angle_alpha 90.00
_cell_angle_beta 104.53
_cell_angle_gamma 90.00
_symmetry_space_group_name_H-M 'C 1 m 1'
_symmetry_Int_Tables_number 8
_symmetry_space_group_name_Hall 'C -2y'
loop_
_atom_site_label
_atom_site_fract_x
_atom_site_fract_y
_atom_site_fract_z
Ir1 0.000 0.000 0.000
Ir2 0.055 0.000 0.607
Ir3 0.168 0.500 0.331
Ir4 0.225 0.500 0.946
Ir5 0.334 0.000 0.664
Ru1 0.390 0.000 0.277
```